# CuPdPbAu | the Alexandria database | PBE | optimized geometry
data_CuPdPbAu
_chemical_formula_sum 'Cu4 Pd4 Pb4 Au4'
_cell_length_a 6.612
_cell_length_b 6.612
_cell_length_c 6.612
_cell_angle_alpha 90.00
_cell_angle_beta 90.00
_cell_angle_gamma 90.00
_space_group_name_H-M_alt 'F -4 3 m'
_space_group_IT_number 216
_space_group_name_Hall 'F -4 2 3'
loop_
_atom_site_label
_atom_site_type_symbol
_atom_site_fract_x
_atom_site_fract_y
_atom_site_fract_z
Cu1 Cu 0.000 0.000 0.000
Pd1 Pd 0.000 0.000 0.500
Pb1 Pb 0.250 0.250 0.750
Au1 Au 0.250 0.250 0.250
# * uncorrected energy: -16.35 eV/f.u.